1.
A plane-wave DFT calculation with PBE-GGA was carried out for a relaxed Co2SbI2 crystal.

a b c (Å): 8.384 8.384 3.435
angles (deg): 90.00 90.00 90.00
Sites, in units of the cell vectors:
Co1 0.805 0.305 0.500
Co2 0.695 0.805 0.500
Co3 0.305 0.195 0.500
Co4 0.195 0.695 0.500
I1 0.356 0.856 0.000
I2 0.856 0.644 0.000
I3 0.144 0.356 0.000
I4 0.644 0.144 0.000
Sb1 0.000 0.000 0.000
Sb2 0.500 0.500 0.000

Properties
- volume (Å³ per cell) = 241
- relative energy among the computed polymorphs (meV/atom) = 483
- total energy (hartree per atom) = -0.122
- space-group type = P4/mbm

***

2.
A plane-wave DFT calculation with PBE-GGA was carried out for a relaxed CoSbI3 crystal.

a b c (Å): 5.214 5.214 5.214
angles (deg): 90.00 90.00 90.00
Sites, in units of the cell vectors:
Co1 0.000 0.000 0.000
I1 0.000 0.500 0.000
I2 0.000 0.000 0.500
I3 0.500 0.000 0.000
Sb1 0.500 0.500 0.500

Properties
- volume (Å³ per cell) = 142
- relative energy among the computed polymorphs (meV/atom) = 0
- total energy (hartree per atom) = -0.103
- space-group type = Pm-3m

***

Total moment readings, ordered: 6.4; 0.0 μB/cell
ΔE_f (raw) readings, ordered: 469; 174 kJ/mol of formula units